An optimized crystal structure of NdSi2Tc2. Source: Alexandria via LeMat-Bulk, functional GGA-PBE.

a b c (Å): 4.1719 4.1719 10.3006
angles (deg): 90.00 90.00 90.00
Space group I4/mmm (No. 139)
Asymmetric unit:
Nd 0.0000 0.0000 0.0000 x2
Si 0.0000 0.0000 0.3737 x4
Tc 0.0000 0.5000 0.2500 x4

Total magnetic moment in μB per cell: 0.0
E_form (uncorrected) in eV per atom: -0.60
Polymorph energy (0 for the lowest one) in kcal/mol of atoms: 0.00
Volume in Å³/atom: 17.9

***

An optimized crystal structure of NdSi2Tc3. Source: Alexandria via LeMat-Bulk, functional GGA-PBE.

a b c (Å): 4.0999 7.9978 12.6188
angles (deg): 90.00 90.00 90.00
Space group Immm (No. 71)
Asymmetric unit:
Nd 0.0000 0.0000 0.1254 x4
Si 0.0000 0.2920 0.5000 x4
Si 0.0000 0.5000 0.1877 x4
Tc 0.0000 0.2025 0.3109 x8
Tc 0.0000 0.3558 0.0000 x4

Total magnetic moment in μB per cell: 0.0
E_form (uncorrected) in eV per atom: -0.20
Polymorph energy (0 for the lowest one) in kcal/mol of atoms: 6.64
Volume in Å³/atom: 17.2

***

An optimized crystal structure of NdSi3Tc3. Source: Alexandria via LeMat-Bulk, functional GGA-PBE.

a b c (Å): 7.2455 4.4298 8.6845
angles (deg): 90.00 112.99 90.00
Space group P2_1/m (No. 11)
Asymmetric unit:
Nd 0.2213 0.2500 0.4275 x2
Si 0.0823 0.2500 0.9905 x2
Si 0.2041 0.7500 0.6685 x2
Si 0.3754 0.7500 0.2705 x2
Tc 0.2410 0.7500 0.9664 x2
Tc 0.3404 0.2500 0.8350 x2
Tc 0.4434 0.2500 0.1690 x2

Total magnetic moment in μB per cell: 0.0
E_form (uncorrected) in eV per atom: -0.34
Polymorph energy (0 for the lowest one) in kcal/mol of atoms: 0.00
Volume in Å³/atom: 18.3

***

An optimized crystal structure of NdSi2Tc3. Source: Alexandria via LeMat-Bulk, functional GGA-PBE.

a b c (Å): 15.0725 4.1533 7.5725
angles (deg): 90.00 117.38 90.00
Space group C2/m (No. 12)
Asymmetric unit:
Nd 0.1447 0.0000 0.0620 x4
Si 0.0226 0.5000 0.1824 x4
Si 0.1910 0.0000 0.7086 x4
Tc 0.0444 0.0000 0.3879 x4
Tc 0.0864 0.5000 0.6534 x4
Tc 0.2008 0.5000 0.4693 x4

Total magnetic moment in μB per cell: 0.0
E_form (uncorrected) in eV per atom: -0.49
Polymorph energy (0 for the lowest one) in kcal/mol of atoms: 0.00
Volume in Å³/atom: 17.5

***

An optimized crystal structure of NdSi2Tc2. Source: Alexandria via LeMat-Bulk, functional GGA-PBE.

a b c (Å): 4.1256 4.1817 20.8524
angles (deg): 90.00 90.00 90.00
Space group Imma (No. 74)
Asymmetric unit:
Nd 0.0000 0.2500 0.1637 x4
Si 0.0000 0.2500 0.6047 x4
Si 0.0000 0.2500 0.7213 x4
Tc 0.0000 0.2500 0.4618 x4
Tc 0.0000 0.2500 0.9637 x4

Total magnetic moment in μB per cell: 0.0
E_form (uncorrected) in eV per atom: -0.59
Polymorph energy (0 for the lowest one) in kcal/mol of atoms: 0.12
Volume in Å³/atom: 18.0

***

An optimized crystal structure of Nd6SiTe12. Source: Alexandria via LeMat-Bulk, functional GGA-PBE.

a b c (Å): 13.4833 13.4833 12.7343
angles (deg): 90.00 90.00 120.00
Space group R-3 (No. 148, hexagonal axes)
Asymmetric unit:
Nd 0.0506 0.6128 0.3072 x18
Si 0.0000 0.0000 0.0000 x3
Te 0.0374 0.8259 0.3957 x18
Te 0.0691 0.8696 0.8836 x18

Total magnetic moment in μB per cell: 0.0
E_form (uncorrected) in eV per atom: -1.05
Volume in Å³/atom: 35.2